VASP calculation (PBE-GGA) on a relaxed AcPm2PrNd crystal.

CIF file:
```
data_AcPm2PrNd
_chemical_formula_sum 'Ac4 Pm8 Pr4 Nd4'
_symmetry_space_group_name_H-M 'C m c m'
_symmetry_Int_Tables_number 63
_symmetry_space_group_name_Hall '-C 2c 2'
_cell_length_a 8.441
_cell_length_b 12.440
_cell_length_c 7.400
_cell_angle_alpha 90.00
_cell_angle_beta 90.00
_cell_angle_gamma 90.00
loop_
_atom_site_label
_atom_site_type_symbol
_atom_site_fract_x
_atom_site_fract_y
_atom_site_fract_z
Ac1 Ac 0.000 0.242 0.250
Pm1 Pm 0.194 0.500 0.000
Pr1 Pr 0.000 0.058 0.750
Nd1 Nd 0.000 0.305 0.750
```

Calculated values
- energy of formation (eV/atom) = 0.314